{
  "formula": "HfAuCl",
  "functional": "PBE",
  "state": "optimized geometry",
  "lattice_angstrom": [[-1.510, 1.714, 2.329], [-2.715, -1.165, 1.382], [2.686, -3.174, 6.327]],
  "species": ["Cl", "Hf", "Au"],
  "frac_coords": [[0.164, 0.454, 0.149], [0.580, 0.865, 0.902], [0.009, 0.290, 0.614]],
  "formation_energy_uncorrected_ev_per_atom": -0.73,
  "final_energy_ev_per_cell": -17.26
}

---

{
  "formula": "HfIrAu2Cl",
  "functional": "PBE",
  "state": "optimized geometry",
  "lattice_angstrom": [[5.091, 0.000, 0.000], [0.000, 4.870, 0.000], [0.000, 0.000, 5.091]],
  "species": ["Au", "Cl", "Au", "Hf", "Ir"],
  "frac_coords": [[0.500, 0.000, 0.000], [0.500, 0.500, 0.500], [0.000, 0.000, 0.500], [0.000, 0.500, 0.000], [0.000, 0.000, 0.000]],
  "formation_energy_uncorrected_ev_per_atom": 0.44,
  "final_energy_ev_per_cell": -25.04
}

---

{
  "formula": "LaHfAuCl",
  "functional": "PBE",
  "state": "optimized geometry",
  "lattice_angstrom": [[-0.660, 2.716, -2.062], [-2.455, -1.774, -1.550], [-5.493, 2.819, 5.471]],
  "species": ["Hf", "Au", "Cl", "La"],
  "frac_coords": [[0.500, 0.500, 0.659], [0.000, 0.000, 0.838], [0.500, 0.000, 0.412], [0.500, 0.500, 0.111]],
  "formation_energy_uncorrected_ev_per_atom": -0.71,
  "final_energy_ev_per_cell": -22.83
}

---

{
  "formula": "LaHfAuCl",
  "functional": "PBE",
  "state": "optimized geometry",
  "lattice_angstrom": [[-1.583, 1.898, 2.652], [1.070, -2.482, 2.415], [13.051, 7.785, 2.217]],
  "species": ["Hf", "Cl", "Au", "La", "La", "Hf", "Cl", "Au"],
  "frac_coords": [[0.500, 0.500, 0.893], [0.500, 0.500, 0.724], [0.500, 0.500, 0.461], [0.000, 0.000, 0.612], [0.500, 0.500, 0.112], [0.000, 0.000, 0.393], [0.000, 0.000, 0.224], [0.000, 0.000, 0.961]],
  "formation_energy_uncorrected_ev_per_atom": -0.78,
  "final_energy_ev_per_cell": -46.22
}

---

{
  "formula": "LaHf2AuCl",
  "functional": "PBE",
  "state": "optimized geometry",
  "lattice_angstrom": [[-1.201, -2.981, -3.503], [-2.947, -3.153, 3.693], [-3.882, 2.598, -0.880]],
  "species": ["Hf", "Cl", "Au", "Hf", "La"],
  "frac_coords": [[0.000, 0.000, 0.500], [0.000, 0.000, 0.000], [0.000, 0.500, 0.000], [0.500, 0.000, 0.000], [0.500, 0.500, 0.500]],
  "formation_energy_uncorrected_ev_per_atom": 0.13,
  "final_energy_ev_per_cell": -29.31
}

---

{
  "formula": "LaHfAuCl",
  "functional": "PBE",
  "state": "optimized geometry",
  "lattice_angstrom": [[3.958, -0.173, 0.044], [-1.789, 4.063, 0.000], [-0.210, -2.466, 7.303]],
  "species": ["Hf", "Cl", "Au", "La"],
  "frac_coords": [[0.816, 0.674, 0.200], [0.694, 0.425, 0.851], [0.543, 0.130, 0.336], [0.306, 0.655, 0.595]],
  "formation_energy_uncorrected_ev_per_atom": -0.76,
  "final_energy_ev_per_cell": -23.04
}